No. 1
BaTl2Si, optimized geometry, DFT PBE-GGA; raw formation energy = -0.039 eV/atom; DOS at the Fermi energy = 0.5655 states/eV/atom; ΔE to the lowest computed polymorph = 77 meV per atom; V = 129.0 Å³ per cell
1.0
-2.2073 2.5699 5.6866
2.2073 -2.5699 5.6866
2.2073 2.5699 -5.6866
Ba Tl Si
1 2 1
Direct
0.0000 0.0000 0.0000
0.3898 0.3898 0.0000
0.7058 0.2058 0.5000
0.2409 0.7409 0.5000


No. 2
PrSm2YMg, optimized geometry, DFT PBE-GGA; DOS at the Fermi energy = 1.6693 states/eV/atom; formation energy from the elements = 15.59 kJ/mol of atoms; V = 328.8 Å³ per cell
1.0
6.0396 0.0000 0.0000
0.0000 7.5160 0.0000
0.0000 0.0000 7.2430
Pr Sm Y Mg
2 4 2 2
Direct
0.2500 0.0000 0.1676
0.7500 0.0000 0.8324
0.2500 0.2167 0.6931
0.2500 0.7833 0.6931
0.7500 0.2167 0.3069
0.7500 0.7833 0.3069
0.2500 0.5000 0.3739
0.7500 0.5000 0.6261
0.0000 0.5000 0.0000
0.5000 0.5000 0.0000


No. 3
NdTc6Ge8, optimized geometry, DFT PBE-GGA; DOS at the Fermi energy = 0.5993 states/eV/atom; formation energy from the elements = -2.63 kJ/mol of atoms; V = 278.9 Å³ per cell
1.0
4.3876 2.5332 4.1820
-4.3876 2.5332 4.1820
0.0000 -5.0663 4.1820
Nd Tc Ge
1 6 8
Direct
0.0000 0.0000 0.0000
0.2314 0.5824 0.4089
0.4089 0.2314 0.5824
0.4176 0.5911 0.7686
0.5824 0.4089 0.2314
0.5911 0.7686 0.4176
0.7686 0.4176 0.5911
0.0821 0.4403 0.7742
0.2258 0.9179 0.5597
0.2402 0.2402 0.2402
0.4403 0.7742 0.0821
0.5597 0.2258 0.9179
0.7598 0.7598 0.7598
0.7742 0.0821 0.4403
0.9179 0.5597 0.2258


What is the formula in the first record?
BaTl2Si


Look up the V of the second one.
328.8 Å³ per cell


What is the V in the second record?
328.8 Å³ per cell